(1)
Compound: YNi2Br
Source: Alexandria via LeMat-Bulk
Functional: PBE
Structure: optimized geometry Values from VASP.

Cell and atoms, written as Quantum ESPRESSO input:
```
&SYSTEM
  ibrav = 0, nat = 4, ntyp = 3
/
ATOMIC_SPECIES
Y 88.91 Y.upf
Ni 58.69 Ni.upf
Br 79.90 Br.upf
ATOMIC_POSITIONS crystal
Y 0.500 0.500 0.500
Ni 0.250 0.250 0.250
Ni 0.750 0.750 0.750
Br 0.000 0.000 0.000
CELL_PARAMETERS angstrom
0.000 3.296 3.296
3.296 0.000 3.296
3.296 3.296 0.000
```

Output
M_tot ... 0.0 Bohr magnetons per cell
Formation energy without anion corrections ... 0.17 eV/atom
Symmetry ... Fm-3m, No. 225

---

(2)
Compound: NdHo2Sn
Source: Alexandria via LeMat-Bulk
Functional: PBE
Structure: optimized geometry Values from VASP.

Cell and atoms, written as Quantum ESPRESSO input:
```
&SYSTEM
  ibrav = 0, nat = 4, ntyp = 3
/
ATOMIC_SPECIES
Ho 164.93 Ho.upf
Nd 144.24 Nd.upf
Sn 118.71 Sn.upf
ATOMIC_POSITIONS crystal
Ho 0.000 0.000 0.215
Nd 0.500 0.500 0.500
Sn 0.500 0.500 0.000
Ho 0.000 0.000 0.785
CELL_PARAMETERS angstrom
3.782 0.000 0.000
0.000 3.782 0.000
0.000 0.000 8.409
```

Output
M_tot ... 0.0 Bohr magnetons per cell
ΔE_f ... -300.7 meV/atom
Symmetry ... P4/mmm, No. 123

---

(3)
Compound: HgPt3
Source: Alexandria via LeMat-Bulk
Functional: PBE
Structure: optimized geometry Values from VASP.

Cell and atoms, written as Quantum ESPRESSO input:
```
&SYSTEM
  ibrav = 0, nat = 8, ntyp = 2
/
ATOMIC_SPECIES
Hg 200.59 Hg.upf
Pt 195.08 Pt.upf
ATOMIC_POSITIONS crystal
Hg 0.500 0.660 0.500
Pt 0.000 0.315 0.500
Pt 0.500 0.163 0.253
Pt 0.500 0.163 0.747
Pt 0.000 0.837 0.247
Pt 0.000 0.837 0.753
Pt 0.500 0.685 0.000
Hg 0.000 0.340 0.000
CELL_PARAMETERS angstrom
-3.161 3.364 -1.230
-2.886 -3.477 -2.091
-2.708 -0.732 4.956
```

Output
M_tot ... 0.0 Bohr magnetons per cell
ΔE_f ... 76.3 meV/atom
Symmetry ... Pmmn, No. 59

---

(4)
Compound: BaRhW2
Source: Alexandria via LeMat-Bulk
Functional: PBE
Structure: optimized geometry Values from VASP.

Cell and atoms, written as Quantum ESPRESSO input:
```
&SYSTEM
  ibrav = 0, nat = 4, ntyp = 3
/
ATOMIC_SPECIES
Ba 137.33 Ba.upf
W 183.84 W.upf
Rh 102.91 Rh.upf
ATOMIC_POSITIONS crystal
Ba 0.000 0.000 0.500
W 0.213 0.213 0.869
W 0.787 0.787 0.131
Rh 0.500 0.500 0.000
CELL_PARAMETERS angstrom
1.965 -4.791 -1.219
2.293 -4.399 1.922
-4.728 -3.482 0.929
```

Output
M_tot ... 0.0 Bohr magnetons per cell
ΔE_f ... 751.1 meV/atom
Symmetry ... C2/m, No. 12

---

(5)
Compound: Ge3IrS
Source: Alexandria via LeMat-Bulk
Functional: PBE
Structure: optimized geometry Values from VASP.

Cell and atoms, written as Quantum ESPRESSO input:
```
&SYSTEM
  ibrav = 0, nat = 10, ntyp = 3
/
ATOMIC_SPECIES
Ge 72.64 Ge.upf
S 32.06 S.upf
Ir 192.22 Ir.upf
ATOMIC_POSITIONS crystal
Ge 0.111 0.599 0.743
S 0.611 0.207 0.727
Ge 0.993 0.078 0.840
Ge 0.748 0.665 0.963
Ge 0.058 0.652 0.243
Ge 0.537 0.534 0.340
S 0.667 0.152 0.227
Ir 0.075 0.880 0.552
Ge 0.124 0.288 0.463
Ir 0.339 0.615 0.052
CELL_PARAMETERS angstrom
5.332 -0.118 -1.586
-3.101 4.339 -1.586
0.404 0.764 8.034
```

Output
M_tot ... 0.0 Bohr magnetons per cell
Formation energy without anion corrections ... -0.11 eV/atom
Symmetry ... Cc, No. 9

---

(6)
Compound: BaReTc2I
Source: Alexandria via LeMat-Bulk
Functional: PBE
Structure: optimized geometry Values from VASP.

Cell and atoms, written as Quantum ESPRESSO input:
```
&SYSTEM
  ibrav = 0, nat = 5, ntyp = 4
/
ATOMIC_SPECIES
I 126.90 I.upf
Tc 98.00 Tc.upf
Re 186.21 Re.upf
Ba 137.33 Ba.upf
ATOMIC_POSITIONS crystal
I 0.500 0.500 0.500
Tc 0.500 0.000 0.000
Re 0.000 0.500 0.000
Ba 0.000 0.000 0.000
Tc 0.000 0.000 0.500
CELL_PARAMETERS angstrom
-4.719 -2.532 -0.544
1.929 -4.202 2.830
-1.743 2.270 4.559
```

Output
M_tot ... 9.8 Bohr magnetons per cell
Formation energy without anion corrections ... 3.17 eV/atom
Symmetry ... P4/mmm, No. 123

---

(7)
Compound: Li3Cd2Ga3
Source: Alexandria via LeMat-Bulk
Functional: PBE
Structure: optimized geometry Values from VASP.

Cell and atoms, written as Quantum ESPRESSO input:
```
&SYSTEM
  ibrav = 0, nat = 16, ntyp = 3
/
ATOMIC_SPECIES
Ga 69.72 Ga.upf
Cd 112.41 Cd.upf
Li 6.94 Li.upf
ATOMIC_POSITIONS crystal
Ga 0.423 0.845 0.577
Ga 0.560 0.120 0.750
Ga 0.577 0.155 0.423
Cd 0.787 0.575 0.623
Ga 0.423 0.845 0.923
Li 0.100 0.201 0.578
Cd 0.213 0.425 0.123
Cd 0.213 0.425 0.377
Li 0.900 0.799 0.422
Cd 0.787 0.575 0.877
Ga 0.440 0.880 0.250
Ga 0.577 0.155 0.077
Li 0.100 0.201 0.922
Li 0.900 0.799 0.078
Li 0.275 0.550 0.750
Li 0.725 0.450 0.250
CELL_PARAMETERS angstrom
4.646 0.000 0.000
-2.323 4.722 0.000
0.000 0.000 13.540
```

Output
M_tot ... 0.0 Bohr magnetons per cell
ΔE_f ... -199.6 meV/atom
Symmetry ... Cmcm, No. 63

---

(8)
Compound: CePmCdPb
Source: Alexandria via LeMat-Bulk
Functional: PBE
Structure: optimized geometry Values from VASP.

Cell and atoms, written as Quantum ESPRESSO input:
```
&SYSTEM
  ibrav = 0, nat = 4, ntyp = 4
/
ATOMIC_SPECIES
Pm 145.00 Pm.upf
Ce 140.12 Ce.upf
Pb 207.20 Pb.upf
Cd 112.41 Cd.upf
ATOMIC_POSITIONS crystal
Pm 0.750 0.750 0.750
Ce 0.250 0.250 0.250
Pb 0.000 0.000 0.000
Cd 0.500 0.500 0.500
CELL_PARAMETERS angstrom
-2.230 -0.161 5.002
-4.682 -2.724 0.826
0.018 -4.675 2.858
```

Output
M_tot ... 1.2 Bohr magnetons per cell
ΔE_f ... -342.2 meV/atom
Symmetry ... F-43m, No. 216

---

Which of these has the highest M_tot? BaReTc2I

---

Look up the M_tot of the second one. 0.0 Bohr magnetons per cell